Compound: MnNiBr2
Source: the Alexandria database
Functional: GGA-PBEsol
Structure: optimized geometry

Lattice parameters (Å, degrees): 7.4974 7.4974 7.4974 27.41 27.41 27.41
Last column: nearest neighbours and their distance in Å.
Atoms (fractional coordinates):
1 Mn 0.0000 0.0000 0.0000  3 Ni 2.43, 3 Br 2.54
2 Ni 0.7267 0.7267 0.7267  3 Br 2.38, 3 Mn 2.43
3 Br 0.2637 0.2637 0.2637  3 Mn 2.54
4 Br 0.4491 0.4491 0.4491  3 Ni 2.38

Results
The crystal system is trigonal. The magnetization comes out at 3.1 μB/f.u. Its space group is R3m (160). Its excess energy over the best structure of this formula in the dataset is 0 meV/atom. The formation energy (no corrections) comes out at -0.12 eV per atom. The value obtained for the density of states at the Fermi level is 0.39 states/eV per atom. Its volume is 19.7 A^3/atom. For the total energy, the calculation gives -20.15 eV/f.u.


Compound: Na2InHg
Source: the Alexandria database
Functional: GGA-PBEsol
Structure: optimized geometry

Lattice parameters (Å, degrees): 5.1774 5.1774 5.1774 60.00 60.00 60.00
Last column: nearest neighbours and their distance in Å.
Atoms (fractional coordinates):
1 Na 0.2500 0.2500 0.2500  4 Hg 3.17, 4 In 3.17
2 Na 0.7500 0.7500 0.7500  4 Hg 3.17, 4 In 3.17
3 In 0.0000 0.0000 0.0000  8 Na 3.17
4 Hg 0.5000 0.5000 0.5000  8 Na 3.17

Results
The crystal system is cubic. The formation energy is -0.11 eV/atom. The magnetization comes out at 0.0 μB/f.u. Its space group is Fm-3m (225). The value obtained for the density of states at the Fermi level is 0.46 states/eV per atom. Its volume is 24.5 A^3/atom. For the total energy, the calculation gives -6.80 eV/f.u.


Compound: LaSb2Os
Source: the Alexandria database
Functional: GGA-PBEsol
Structure: optimized geometry

Lattice parameters (Å, degrees): 5.0001 5.0001 5.0001 60.00 60.00 60.00
Last column: nearest neighbours and their distance in Å.
Atoms (fractional coordinates):
1 La 0.0000 0.0000 0.0000  8 Sb 3.06
2 Sb 0.2500 0.2500 0.2500  4 Os 3.06, 4 La 3.06
3 Sb 0.7500 0.7500 0.7500  4 Os 3.06, 4 La 3.06
4 Os 0.5000 0.5000 0.5000  8 Sb 3.06

Results
The crystal system is cubic. The magnetization comes out at 0.0 μB/f.u. Its space group is Fm-3m (225). The formation energy (no corrections) comes out at 0.03 eV per atom. The value obtained for the density of states at the Fermi level is 1.22 states/eV per atom. Its volume is 22.1 A^3/atom. For the total energy, the calculation gives -26.56 eV/f.u.


Compound: MnSe3
Source: the Alexandria database
Functional: GGA-PBEsol
Structure: optimized geometry

Lattice parameters (Å, degrees): 4.6463 4.6463 4.6463 60.00 60.00 60.00
Last column: nearest neighbours and their distance in Å.
Atoms (fractional coordinates):
1 Mn 0.0000 0.0000 0.0000  8 Se 2.85
2 Se 0.2500 0.2500 0.2500  4 Mn 2.85, 4 Se 2.85
3 Se 0.5000 0.5000 0.5000  8 Se 2.85
4 Se 0.7500 0.7500 0.7500  4 Mn 2.85, 4 Se 2.85

Results
The crystal system is cubic. The magnetization comes out at 3.2 μB/f.u. Its space group is Fm-3m (225). The formation energy (no corrections) comes out at 0.38 eV per atom. The value obtained for the density of states at the Fermi level is 0.64 states/eV per atom. Its volume is 17.7 A^3/atom. For the total energy, the calculation gives -19.80 eV/f.u.


Compound: TeBrCl2
Source: the Alexandria database
Functional: GGA-PBEsol
Structure: optimized geometry

Lattice parameters (Å, degrees): 3.1444 3.1444 9.7596 90.00 90.00 90.00
Last column: nearest neighbours and their distance in Å.
Atoms (fractional coordinates):
1 Te 0.0000 0.0000 0.0000  8 Cl 2.95, 4 Te 3.14
2 Br 0.0000 0.0000 0.5000  4 Br 3.14
3 Cl 0.5000 0.5000 0.1992  4 Te 2.95, 4 Cl 3.14
4 Cl 0.5000 0.5000 0.8008  4 Te 2.95, 4 Cl 3.14

Results
The crystal system is tetragonal. The magnetization comes out at 0.0 μB/f.u. Its space group is P4/mmm (123). Its excess energy over the best structure of this formula in the dataset is 0 meV/atom. The formation energy (no corrections) comes out at 0.15 eV per atom. The value obtained for the density of states at the Fermi level is 0.91 states/eV per atom. Its volume is 24.1 A^3/atom. For the total energy, the calculation gives -8.79 eV/f.u.


Compound: SrTl2IrC
Source: the Alexandria database
Functional: GGA-PBEsol
Structure: optimized geometry

Lattice parameters (Å, degrees): 5.5163 5.5163 3.8606 90.00 90.00 90.00
Last column: nearest neighbours and their distance in Å.
Atoms (fractional coordinates):
1 Sr 0.0000 0.0000 0.0000  8 Tl 3.37
2 Tl 0.0000 0.5000 0.5000  2 Ir 2.76
3 Tl 0.5000 0.0000 0.5000  2 Ir 2.76
4 Ir 0.5000 0.5000 0.5000  2 C 1.93
5 C 0.5000 0.5000 0.0000  2 Ir 1.93

Results
The crystal system is tetragonal. The formation energy is 0.44 eV/atom. The magnetization comes out at 0.0 μB/f.u. Its space group is P4/mmm (123). The value obtained for the density of states at the Fermi level is 0.58 states/eV per atom. Its volume is 23.5 A^3/atom. For the total energy, the calculation gives -24.35 eV/f.u.